Record 1
Entry from Alexandria: AcAg2Pt after structural relaxation (PBE).

Geometry as POSCAR:
```
AcAg2Pt
1.0
4.574 0.000 0.000
0.000 10.426 0.000
0.000 0.000 7.838
Ac Ag Pt
4 8 4
Cartesian
0.000 0.814 1.960
0.000 9.612 5.879
2.287 4.399 5.879
2.287 6.027 1.960
0.000 3.823 0.456
0.000 3.823 3.463
0.000 6.603 4.375
0.000 6.603 7.382
2.287 1.390 4.375
2.287 1.390 7.382
2.287 9.036 0.456
2.287 9.036 3.463
0.000 2.228 5.879
0.000 8.198 1.960
2.287 2.985 1.960
2.287 7.441 5.879
```

Values from the calculation:
Energy of formation, kJ/mol of atoms: -49.0
Space group: No. 63
Crystal system: orthorhombic



Record 2
Entry from Alexandria: PrTcIO4 after structural relaxation (PBE).

Geometry as POSCAR:
```
PrTcIO4
1.0
5.730 -3.656 0.000
5.730 3.656 0.000
-1.593 0.000 6.907
Pr Tc I O
2 2 2 8
Cartesian
2.655 0.000 0.877
7.212 0.000 6.030
3.088 0.000 5.028
6.779 0.000 1.879
-1.051 0.000 5.173
10.918 0.000 1.734
2.168 1.312 5.959
2.653 0.000 3.319
5.069 0.000 1.472
2.168 -1.312 5.959
7.699 1.312 0.948
4.799 0.000 5.435
7.214 0.000 3.588
7.699 -1.312 0.948
```

Values from the calculation:
Energy relative to the elements, uncorrected, meV per atom: -1868
Space group: No. 12
Crystal system: monoclinic



Record 3
Entry from Alexandria: SrTaAl2 after structural relaxation (PBE).

Geometry as POSCAR:
```
SrTaAl2
1.0
4.592 0.000 0.000
0.000 4.592 0.000
0.000 0.000 8.106
Sr Ta Al
2 2 4
Cartesian
0.000 0.000 0.000
2.296 2.296 4.053
0.000 0.000 4.053
2.296 2.296 0.000
0.000 2.296 2.026
0.000 2.296 6.079
2.296 0.000 2.026
2.296 0.000 6.079
```

Values from the calculation:
Energy of formation, kJ/mol of atoms: 35.4
Space group: No. 139
Crystal system: tetragonal
ΔE to the lowest computed polymorph, meV/atom: 369



Record 4
Entry from Alexandria: MgBeAs after structural relaxation (PBE).

Geometry as POSCAR:
```
MgBeAs
1.0
3.757 0.000 0.000
0.000 6.508 0.000
0.000 0.000 8.290
Mg Be As
4 4 4
Cartesian
0.000 0.000 0.000
0.000 0.000 4.145
1.878 3.254 0.000
1.878 3.254 4.145
0.000 2.178 2.073
0.000 4.331 6.218
1.878 1.077 6.218
1.878 5.432 2.073
0.000 2.161 6.218
0.000 4.347 2.073
1.878 1.093 2.073
1.878 5.415 6.218
```

Values from the calculation:
Energy of formation, kJ/mol of atoms: -14.1
Space group: No. 63
Crystal system: orthorhombic
ΔE to the lowest computed polymorph, meV/atom: 26



Record 5
Entry from Alexandria: Ga2FeOs after structural relaxation (PBE).

Geometry as POSCAR:
```
Ga2FeOs
1.0
4.195 0.000 0.000
0.000 4.195 0.000
0.000 0.000 3.062
Ga Fe Os
2 1 1
Cartesian
0.000 2.097 0.000
2.097 0.000 0.000
0.000 0.000 1.531
2.097 2.097 1.531
```

Values from the calculation:
Energy of formation, kJ/mol of atoms: 2.3
Space group: No. 123
Crystal system: tetragonal
ΔE to the lowest computed polymorph, meV/atom: 5



Record 6
Entry from Alexandria: Nd3DyY2 after structural relaxation (PBE).

Geometry as POSCAR:
```
Nd3DyY2
1.0
5.148 0.000 0.000
0.000 15.402 0.000
0.000 0.000 5.080
Nd Dy Y
6 2 4
Cartesian
0.000 0.000 0.000
0.000 5.144 0.000
0.000 10.258 0.000
2.574 2.557 0.000
2.574 7.701 0.000
2.574 12.845 0.000
0.000 7.701 2.540
2.574 0.000 2.540
0.000 2.562 2.540
0.000 12.840 2.540
2.574 5.139 2.540
2.574 10.263 2.540
```

Values from the calculation:
Energy of formation, kJ/mol of atoms: 1.4
Space group: No. 65
Crystal system: orthorhombic
ΔE to the lowest computed polymorph, meV/atom: 10



Record 7
Entry from Alexandria: CsRe3I after structural relaxation (PBE).

Geometry as POSCAR:
```
CsRe3I
1.0
5.095 0.000 0.000
0.000 5.095 0.000
0.000 0.000 5.095
Cs Re I
1 3 1
Cartesian
0.000 0.000 0.000
0.000 0.000 2.548
0.000 2.548 0.000
2.548 0.000 0.000
2.548 2.548 2.548
```

Values from the calculation:
Energy relative to the elements, uncorrected, meV per atom: 4201
Space group: No. 221
Crystal system: cubic



no.,size of the total moment (μB/f.u.)
1,0.0
2,1.2
3,1.2
4,0.0
5,1.5
6,0.0
7,6.5